No. 1
Material: Y3Mo
Method: DFT, PBE
State: relaxed

Unit cell a=5.7053 b=5.7053 c=3.3765 alpha=90.00 beta=90.00 gamma=109.62
Closest atoms and distances in Å follow each position.
Element x y z (fractional)
1 Y 0.0000 0.5000 0.5000  8 Y 3.29-3.38, 4 Mo 3.31
2 Y 0.5000 0.5000 0.0000  2 Mo 3.29, 10 Y 3.31-3.38
3 Y 0.5000 0.0000 0.5000  8 Y 3.29-3.38, 4 Mo 3.31
4 Mo 0.0000 0.0000 0.0000  10 Y 3.29-3.31, 2 Mo 3.38

- Total moment: 0.00 μB per formula unit
- E_form: 1.83 eV/f.u.
- Symmetry: Cmmm

---

No. 2
Material: Yb3H2Pb
Method: DFT, PBE
State: relaxed

Unit cell a=5.2791 b=7.1375 c=7.1375 alpha=104.33 beta=90.00 gamma=90.00
Closest atoms and distances in Å follow each position.
Element x y z (fractional)
1 Yb 0.2500 0.8909 0.1091  4 H 2.24
2 H 0.0000 0.8493 0.8493  4 Yb 2.22-2.24
3 H 0.5000 0.1507 0.1507  4 Yb 2.22-2.24
4 Pb 0.7500 0.6909 0.3091  8 Yb 3.31-3.47
5 Yb 0.7500 0.5924 0.8144  2 H 2.22
6 Pb 0.2500 0.3091 0.6909  8 Yb 3.31-3.47
7 Yb 0.7500 0.1856 0.4076  2 H 2.22
8 Yb 0.2500 0.4076 0.1856  2 H 2.22
9 Yb 0.7500 0.1091 0.8909  4 H 2.24
10 H 0.5000 0.8493 0.8493  4 Yb 2.22-2.24
11 H 0.0000 0.1507 0.1507  4 Yb 2.22-2.24
12 Yb 0.2500 0.8144 0.5924  2 H 2.22

- Total moment: 0.00 μB per formula unit
- Raw total energy: -3.11 eV per atom
- Symmetry: Cmcm

---

No. 3
Material: LiPm3Ho2Se6
Method: DFT, PBE
State: relaxed

Unit cell a=7.0843 b=7.0843 c=7.1798 alpha=99.50 beta=99.50 gamma=120.13
Closest atoms and distances in Å follow each position.
Element x y z (fractional)
1 Se 0.4037 0.0774 0.2338  1 Li 2.80, 2 Ho 2.87, 3 Pm 2.95-3.01
2 Se 0.9226 0.5963 0.7662  1 Li 2.80, 2 Ho 2.87, 3 Pm 2.95-3.01
3 Ho 0.6653 0.3347 0.0000  6 Se 2.85-2.87
4 Ho 0.3347 0.6653 0.0000  6 Se 2.85-2.87
5 Li 0.0000 0.0000 0.0000  6 Se 2.78-2.80
6 Pm 0.1664 0.8336 0.5000  6 Se 2.95-3.01
7 Se 0.7529 0.7529 0.2318  1 Li 2.78, 2 Ho 2.85, 3 Pm 2.95-3.03
8 Se 0.0774 0.4037 0.2338  1 Li 2.80, 2 Ho 2.87, 3 Pm 2.95-3.01
9 Se 0.2471 0.2471 0.7682  1 Li 2.78, 2 Ho 2.85, 3 Pm 2.95-3.03
10 Pm 0.8336 0.1664 0.5000  6 Se 2.95-3.01
11 Se 0.5963 0.9226 0.7662  1 Li 2.80, 2 Ho 2.87, 3 Pm 2.95-3.01
12 Pm 0.5000 0.5000 0.5000  6 Se 2.95-3.03

- Formation energy without anion corrections: -1.775 eV per atom
- Total moment: 0.00 μB per formula unit
- Symmetry: C2/m

---

No. 4
Material: Li2PrHg2Pb2
Method: DFT, PBE
State: relaxed

Unit cell a=4.8163 b=4.8163 c=9.0527 alpha=74.57 beta=74.57 gamma=60.00
Closest atoms and distances in Å follow each position.
Element x y z (fractional)
1 Hg 0.4437 0.4437 0.6690  3 Li 2.90, 1 Hg 2.91, 3 Pb 2.99
2 Pb 0.7344 0.7344 0.7969  3 Hg 2.99, 1 Li 3.19, 3 Pr 3.29
3 Hg 0.5563 0.5563 0.3310  3 Li 2.90, 1 Hg 2.91, 3 Pb 2.99
4 Li 0.8579 0.8579 0.4264  3 Hg 2.90, 3 Li 3.06, 1 Pb 3.19
5 Li 0.1421 0.1421 0.5736  3 Hg 2.90, 3 Li 3.06, 1 Pb 3.19
6 Pb 0.2656 0.2656 0.2031  3 Hg 2.99, 1 Li 3.19, 3 Pr 3.29
7 Pr 0.0000 0.0000 0.0000  6 Pb 3.29, 2 Li 3.67

- Total moment: 0.00 μB per formula unit
- E_form: -2.34 eV/f.u.
- Symmetry: R-3m

---

Number 1: D(E_F) 1.38 states/eV per atom, V 25.88 A^3/atom. Number 2: D(E_F) 0.00 states/eV per atom, V 21.71 A^3/atom. Number 3: D(E_F) 0.41 states/eV per atom, V 24.51 A^3/atom. Number 4: D(E_F) 0.32 states/eV per atom, V 24.72 A^3/atom.